A plane-wave DFT calculation with GGA-PBE was carried out for a relaxed structure of LaSb2Cl.

Cell lengths 5.6248, 5.6248, 5.6248 Å; angles 126.15, 126.15, 79.64 degrees
Last column: nearest neighbours and their distance in Å.
Fractional coordinates of all 4 atoms:
Cl 0.5000 0.5000 0.0000  4 La 3.34, 8 Sb 3.34-3.60
La 0.7500 0.2500 0.5000  4 Cl 3.34, 8 Sb 3.34-3.60
Sb 0.0000 0.0000 0.0000  4 Sb 3.34, 4 La 3.34, 4 Cl 3.60
Sb 0.2500 0.7500 0.5000  4 Sb 3.34, 4 Cl 3.34, 4 La 3.60

Computed properties:
Relative energy among the computed polymorphs ... 1.67 eV/f.u.
Energy ... -4.459 eV/atom
Uncorrected formation energy ... -704 meV per atom

A plane-wave DFT calculation with GGA-PBE was carried out for a relaxed structure of LaSb4Cl.

Cell lengths 6.2545, 6.2545, 6.2545 Å; angles 60.00, 60.00, 60.00 degrees
Last column: nearest neighbours and their distance in Å.
Fractional coordinates of all 6 atoms:
La 0.0000 0.0000 0.0000  12 Sb 3.67, 4 Cl 3.83
Sb 0.8739 0.3754 0.3754  6 Sb 3.12-3.14
Sb 0.3754 0.3754 0.8739  6 Sb 3.12-3.14
Sb 0.3754 0.8739 0.3754  6 Sb 3.12-3.14
Sb 0.3754 0.3754 0.3754  6 Sb 3.12-3.14
Cl 0.7500 0.7500 0.7500  12 Sb 3.67, 4 La 3.83

Computed properties:
Energy ... -4.345 eV/atom
Uncorrected formation energy ... -468 meV per atom

A plane-wave DFT calculation with GGA-PBE was carried out for a relaxed structure of LaSb2Cl.

Cell lengths 3.4851, 3.4851, 9.2683 Å; angles 90.00, 90.00, 90.00 degrees
Last column: nearest neighbours and their distance in Å.
Fractional coordinates of all 4 atoms:
Cl 0.5000 0.5000 0.2500  8 Sb 3.34, 4 Cl 3.49
La 0.5000 0.5000 0.7500  8 Sb 3.42, 4 La 3.49
Sb 0.0000 0.0000 0.0060  4 Cl 3.34, 4 La 3.42, 4 Sb 3.49
Sb 0.0000 0.0000 0.4940  4 Cl 3.34, 4 La 3.42, 4 Sb 3.49

Computed properties:
Relative energy among the computed polymorphs ... 3.06 eV/f.u.
Energy ... -4.109 eV/atom
Uncorrected formation energy ... -355 meV per atom